A relaxed PmSmSiI crystal, computed with PBE.

Unit cell a=4.250 b=4.250 c=8.159 alpha=90.00 beta=105.09 gamma=120.00
Positions (direct):
Pm 0.506 0.151 0.672
Si 0.306 0.551 0.872
Sm 0.100 0.948 0.064
I 0.966 0.381 0.362

Computed properties:
Its density is 6.1 g/cm³. The uncorrected formation energy comes out at -0.92 eV/atom.